No. 1
{
  "formula": "Ta5H",
  "functional": "GGA-PBE",
  "state": "optimized geometry",
  "space_group": "Cmmm, No. 65",
  "magmom_total_mub_per_cell": 0.00,
  "e_tot_ev_per_cell": -59.75,
  "n_ef_per_ev_cell": 4.20,
  "lattice_angstrom": [[-2.2638, 0.4941, -3.9483], [2.1640, -1.8555, -1.4730], [-4.7779, -4.5233, 2.1734]],
  "species": ["H", "Ta", "Ta", "Ta", "Ta", "Ta"],
  "frac_coords": [[0.0000, 0.0000, 0.0000], [0.5000, 0.8316, 0.6633], [0.0000, 0.6425, 0.2850], [0.5000, 0.5000, 0.0000], [0.0000, 0.3575, 0.7150], [0.5000, 0.1684, 0.3367]]
}

---

No. 2
{
  "formula": "ThTc2B",
  "functional": "GGA-PBE",
  "state": "optimized geometry",
  "formation_energy_kcal_per_mol_atoms": -4.0,
  "space_group": "Cmcm, No. 63",
  "magmom_total_mub_per_cell": 0.00,
  "n_ef_per_ev_cell": 6.40,
  "polymorph_energy_ev_per_fu": 0.00,
  "lattice_angstrom": [[-0.7624, 0.6787, -3.1330], [5.2382, -1.9399, 0.0374], [-2.5572, -6.9221, -0.8772]],
  "species": ["Th", "Th", "Tc", "Tc", "Tc", "Tc", "B", "B"],
  "frac_coords": [[0.9507, 0.9013, 0.2500], [0.0493, 0.0987, 0.7500], [0.3371, 0.6747, 0.5566], [0.6629, 0.3253, 0.4434], [0.3371, 0.6747, 0.9434], [0.6629, 0.3253, 0.0566], [0.7752, 0.5511, 0.7500], [0.2248, 0.4489, 0.2500]]
}

---

No. 3
{
  "formula": "Rb4ThSc3Se8",
  "functional": "GGA-PBE",
  "state": "optimized geometry",
  "space_group": "R-3m, No. 166",
  "e_form_raw_mev_per_atom": -1571,
  "magmom_total_mub_per_cell": 0.00,
  "n_ef_per_ev_cell": 5.65,
  "lattice_angstrom": [[-1.8157, 6.5088, -4.7008], [3.7961, -4.2484, -7.3486], [-6.0069, -4.0849, 3.8712]],
  "species": ["Rb", "Rb", "Rb", "Rb", "Th", "Sc", "Sc", "Sc", "Se", "Se", "Se", "Se", "Se", "Se", "Se", "Se"],
  "frac_coords": [[0.5000, 0.0000, 0.0000], [0.5000, 0.0000, 0.5000], [0.0000, 0.0000, 0.0000], [0.0000, 0.0000, 0.5000], [0.0000, 0.5000, 0.0000], [0.5000, 0.5000, 0.0000], [0.5000, 0.5000, 0.5000], [0.0000, 0.5000, 0.5000], [0.2381, 0.6935, 0.9558], [0.2379, 0.6936, 0.4758], [0.2715, 0.3150, 0.5431], [0.7177, 0.6935, 0.9558], [0.2823, 0.3065, 0.0442], [0.7285, 0.6850, 0.4569], [0.7621, 0.3064, 0.5242], [0.7619, 0.3065, 0.0442]]
}